CaBe2AgH6: optimized geometry, PBE-GGA.

a b c (Å): 4.4468 4.4468 16.6148
angles (deg): 90.00 90.00 120.00
Space group R-3 (No. 148, hexagonal axes)
Inequivalent atoms, fractional coordinates:
Ca  0.0000  0.0000  0.0000 x3
Be  0.0000  0.0000  0.2340 x6
Ag  0.0000  0.0000  0.5000 x3
H  0.0040  0.5003  0.0681 x18

For the total energy, the calculation gives -3.2355 eV/atom. The spin magnetization comes out at 0.0 μB per formula unit.